This record from Alexandria via LeMat-Bulk describes an optimized crystal structure of FeAsPt. The functional is PBE-GGA.

Cell lengths 4.6077, 4.6077, 4.6077 Å; angles 142.35, 130.11, 64.15 degrees
Element x y z (fractional)
1 Fe 0.0000 0.0000 0.0000
2 As 0.3234 0.3234 0.0000
3 Pt 0.6556 0.6556 0.0000

Its symmetry is No. 44. For the formation energy, the calculation gives 0.037 eV per atom.